Below is a geometry-optimized Cs3SbS4 structure, with properties calculated at the GGA-PBE level.

Summary:
E_form (uncorrected) = -929 meV/atom
V = 310.98 Å³/f.u.
crystal system = orthorhombic
space-group type = Pnma
total moment = 0.0 μB/cell
mass density = 3.464 g cm⁻³

Lattice parameters (Å, degrees): 10.1164 10.3567 11.8726 90.00 90.00 90.00
Element x y z (fractional)
1 S 0.8413 0.0404 0.4153
2 S 0.4854 0.9177 0.7500
3 Cs 0.3560 0.5772 0.7500
4 Sb 0.2745 0.0174 0.7500
5 S 0.6587 0.5404 0.5847
6 Sb 0.7255 0.9826 0.2500
7 Cs 0.1440 0.0772 0.2500
8 S 0.3020 0.2447 0.7500
9 Cs 0.4478 0.7954 0.0431
10 Sb 0.2255 0.5174 0.2500
11 S 0.6587 0.5404 0.9153
12 Cs 0.6440 0.4228 0.2500
13 Cs 0.9478 0.7046 0.0431
14 S 0.3413 0.4596 0.4153
15 S 0.0146 0.4177 0.2500
16 Cs 0.8560 0.9228 0.7500
17 S 0.8413 0.0404 0.0847
18 S 0.1587 0.9596 0.9153
19 S 0.6980 0.7553 0.2500
20 Cs 0.9478 0.7046 0.4569
21 S 0.8020 0.2553 0.7500
22 Cs 0.5522 0.2046 0.5431
23 S 0.5146 0.0823 0.2500
24 Sb 0.7745 0.4826 0.7500
25 Cs 0.4478 0.7954 0.4569
26 S 0.3413 0.4596 0.0847
27 Cs 0.5522 0.2046 0.9569
28 S 0.1980 0.7447 0.2500
29 S 0.9854 0.5823 0.7500
30 Cs 0.0522 0.2954 0.9569
31 S 0.1587 0.9596 0.5847
32 Cs 0.0522 0.2954 0.5431

---

Below is a geometry-optimized KLiIn4 structure, with properties calculated at the GGA-PBE level.

Summary:
V = 173.92 Å³/f.u.
crystal system = cubic
space-group type = F-43m
ΔH_f (0 K) = -6 kJ/mol of atoms
total moment = 0.0 μB/cell
mass density = 4.824 g cm⁻³

Lattice parameters (Å, degrees): 6.2655 6.2655 6.2655 60.00 60.00 60.00
Element x y z (fractional)
1 In 0.3748 0.8757 0.3748
2 K 0.7500 0.7500 0.7500
3 Li 0.0000 0.0000 0.0000
4 In 0.3748 0.3748 0.3748
5 In 0.3748 0.3748 0.8757
6 In 0.8757 0.3748 0.3748